Compound: NiP2SCl
Source: the Alexandria database
Functional: GGA-PBE
Structure: optimized geometry

Cell and atoms, written as extended XYZ:
```
5
Lattice="-0.6452 3.3253 2.9665 -3.2517 1.6982 -2.6108 -3.2025 -2.6449 2.2683" Properties=species:S:1:pos:R:3 pbc="T T T"
P -1.6259 0.8491 -1.3054
P -0.3226 1.6627 1.4833
Ni -3.5497 1.1893 1.3120
Cl 0.0000 0.0000 0.0000
S -1.6013 -1.3225 1.1341
```

Space-group type = No. 123
Distance to the lowest polymorph of the same formula = 967.4 meV per atom
Formation energy from raw total energies = 8.01 eV per formula unit

=====

Compound: NiPSCl2
Source: the Alexandria database
Functional: GGA-PBE
Structure: optimized geometry

Cell and atoms, written as extended XYZ:
```
5
Lattice="-3.5588 -1.6274 2.0514 2.5371 -1.2867 3.3807 -0.6919 4.1662 2.1049" Properties=species:S:1:pos:R:3 pbc="T T T"
Ni 0.0000 0.0000 0.0000
P -0.3459 2.0831 1.0525
S -0.8568 0.6260 3.7685
Cl 1.2686 -0.6434 1.6903
Cl -1.7794 -0.8137 1.0257
```

Space-group type = No. 123
Distance to the lowest polymorph of the same formula = 38.9 meV per atom
Formation energy from raw total energies = 2.40 eV per formula unit

=====

Compound: NiSbPCl2
Source: the Alexandria database
Functional: GGA-PBE
Structure: optimized geometry

Cell and atoms, written as extended XYZ:
```
5
Lattice="4.4826 0.0000 0.0000 0.0000 4.4826 0.0000 0.0000 0.0000 4.8325" Properties=species:S:1:pos:R:3 pbc="T T T"
Sb 2.2413 2.2413 2.4163
Cl 0.0000 2.2413 0.0000
Cl 2.2413 0.0000 0.0000
Ni 0.0000 0.0000 0.0000
P 0.0000 0.0000 2.4163
```

Space-group type = No. 123
Distance to the lowest polymorph of the same formula = 0.0 meV per atom
Formation energy from raw total energies = 0.51 eV per formula unit

=====

Compound: NiSbPCl2
Source: the Alexandria database
Functional: GGA-PBE
Structure: optimized geometry

Cell and atoms, written as extended XYZ:
```
5
Lattice="-0.7463 4.4802 2.4071 -4.4772 0.5754 -2.4590 -2.5136 -2.5562 3.9784" Properties=species:S:1:pos:R:3 pbc="T T T"
Ni -3.8685 1.2497 1.9632
Cl -2.2386 0.2877 -1.2295
Cl -0.3731 2.2401 1.2035
P -1.2568 -1.2781 1.9892
Sb 0.0000 0.0000 0.0000
```

Space-group type = No. 123
Distance to the lowest polymorph of the same formula = 613.2 meV per atom
Formation energy from raw total energies = 3.58 eV per formula unit

=====

Compound: ScNiPCl2
Source: the Alexandria database
Functional: GGA-PBE
Structure: optimized geometry

Cell and atoms, written as extended XYZ:
```
5
Lattice="4.7856 0.0000 0.0000 0.0000 4.7856 0.0000 0.0000 0.0000 5.3807" Properties=species:S:1:pos:R:3 pbc="T T T"
Sc 0.0000 0.0000 0.0000
Cl 0.0000 2.3928 0.0000
Cl 2.3928 0.0000 0.0000
Ni 2.3928 2.3928 2.6904
P 0.0000 0.0000 2.6904
```

Space-group type = No. 123
Distance to the lowest polymorph of the same formula = 166.5 meV per atom
Formation energy from raw total energies = -0.91 eV per formula unit

=====

Compound: ScNiPCl2
Source: the Alexandria database
Functional: GGA-PBE
Structure: optimized geometry

Cell and atoms, written as extended XYZ:
```
5
Lattice="4.4085 0.0000 0.0000 0.0000 4.4085 0.0000 0.0000 0.0000 4.8486" Properties=species:S:1:pos:R:3 pbc="T T T"
Sc 2.2043 2.2043 2.4243
P 0.0000 0.0000 2.4243
Cl 2.2043 0.0000 0.0000
Cl 0.0000 2.2043 0.0000
Ni 0.0000 0.0000 0.0000
```

Space-group type = No. 123
Distance to the lowest polymorph of the same formula = 0.0 meV per atom
Formation energy from raw total energies = -1.74 eV per formula unit

=====

Compound: NiPSeCl2
Source: the Alexandria database
Functional: GGA-PBE
Structure: optimized geometry

Cell and atoms, written as extended XYZ:
```
5
Lattice="4.4496 0.0000 0.0000 0.0000 4.4496 0.0000 0.0000 0.0000 4.7506" Properties=species:S:1:pos:R:3 pbc="T T T"
Se 2.2248 2.2248 2.3753
Cl 0.0000 2.2248 0.0000
Cl 2.2248 0.0000 0.0000
Ni 0.0000 0.0000 0.0000
P 0.0000 0.0000 2.3753
```

Space-group type = No. 123
Distance to the lowest polymorph of the same formula = 0.0 meV per atom
Formation energy from raw total energies = 1.59 eV per formula unit

=====

Compound: NiP2SeCl
Source: the Alexandria database
Functional: GGA-PBE
Structure: optimized geometry

Cell and atoms, written as extended XYZ:
```
5
Lattice="-2.1421 -0.8801 3.8797 -1.0483 -4.1258 -1.5147 3.7558 -1.5837 1.7145" Properties=species:S:1:pos:R:3 pbc="T T T"
Cl 1.8779 -0.7919 0.8572
Se 0.2827 -3.2948 2.0397
P -1.0711 -0.4401 1.9399
P -0.5241 -2.0629 -0.7574
Ni 0.0000 0.0000 0.0000
```

Space-group type = No. 123
Distance to the lowest polymorph of the same formula = 0.0 meV per atom
Formation energy from raw total energies = 2.46 eV per formula unit

=====

Compound: SiNiPCl2
Source: the Alexandria database
Functional: GGA-PBE
Structure: optimized geometry

Cell and atoms, written as extended XYZ:
```
5
Lattice="4.4455 0.0000 0.0000 0.0000 4.4455 0.0000 0.0000 0.0000 4.7843" Properties=species:S:1:pos:R:3 pbc="T T T"
Si 2.2227 2.2227 2.3922
Cl 2.2227 0.0000 0.0000
Cl 0.0000 2.2227 0.0000
Ni 0.0000 0.0000 0.0000
P 0.0000 0.0000 2.3922
```

Space-group type = No. 123
Distance to the lowest polymorph of the same formula = 0.0 meV per atom
Formation energy from raw total energies = 1.93 eV per formula unit

=====

Compound: SiNiP2Cl
Source: the Alexandria database
Functional: GGA-PBE
Structure: optimized geometry

Cell and atoms, written as extended XYZ:
```
5
Lattice="-2.8871 -0.3060 3.2213 -3.0399 -1.2227 -2.8407 1.2554 -4.6984 0.6789" Properties=species:S:1:pos:R:3 pbc="T T T"
Cl 0.6277 -2.3492 0.3394
P -1.4435 -0.1530 1.6106
P -1.5200 -0.6114 -1.4203
Si -2.3358 -3.1136 0.5297
Ni 0.0000 0.0000 0.0000
```

Space-group type = No. 123
Distance to the lowest polymorph of the same formula = 0.0 meV per atom
Formation energy from raw total energies = 3.28 eV per formula unit

=====

Compound: SrNiP2Cl
Source: the Alexandria database
Functional: GGA-PBE
Structure: optimized geometry

Cell and atoms, written as extended XYZ:
```
5
Lattice="-2.5341 -2.7418 2.0731 -0.3323 -2.3682 -3.5381 4.9553 -3.2746 1.7265" Properties=species:S:1:pos:R:3 pbc="T T T"
Cl 2.4777 -1.6373 0.8632
P -0.1661 -1.1841 -1.7690
P -1.2671 -1.3709 1.0366
Ni 0.0000 0.0000 0.0000
Sr 1.0445 -4.1923 0.1307
```

Space-group type = No. 123
Distance to the lowest polymorph of the same formula = 0.0 meV per atom
Formation energy from raw total energies = -2.87 eV per formula unit

=====

Compound: SrNiP2Cl
Source: the Alexandria database
Functional: GGA-PBE
Structure: optimized geometry

Cell and atoms, written as extended XYZ:
```
5
Lattice="-5.4578 1.3686 0.0410 -1.2208 -4.9402 2.4011 0.5896 2.2063 4.8391" Properties=species:S:1:pos:R:3 pbc="T T T"
P -2.7289 0.6843 0.0205
P -0.6104 -2.4701 1.2006
Cl 0.2948 1.1032 2.4196
Sr 0.0000 0.0000 0.0000
Ni -3.0445 -0.6827 3.6406
```

Space-group type = No. 123
Distance to the lowest polymorph of the same formula = 1678.2 meV per atom
Formation energy from raw total energies = 5.52 eV per formula unit

=====

| no. | mass density (kg/m³) |
| --- | --- |
| 1 | 3256 |
| 2 | 3473 |
| 3 | 4828 |
| 4 | 3313 |
| 5 | 2770 |
| 6 | 3622 |
| 7 | 4229 |
| 8 | 4323 |
| 9 | 3313 |
| 10 | 3312 |
| 11 | 3588 |
| 12 | 2389 |